Entry 1:
This record from Alexandria describes a geometry-optimized CrSiCl2 structure. The functional is PBE.

a = 3.3139 Å, b = 3.3139 Å, c = 31.0212 Å
α = 90.00°, β = 90.00°, γ = 120.00°
Space group R-3m (No. 166, hexagonal axes)
Symmetry-distinct sites (fractional):
Cr 0.0000 0.0000 0.0000
Si 0.0000 0.0000 0.5000
Cl 0.0000 0.0000 0.2839

Calculated values
calculated volume: 24.59 Å³ per atom
energy: -4.711 eV per atom
E above lowest polymorph: 292 meV/atom

=====

Entry 2:
This record from Alexandria describes a geometry-optimized CrSi2Cl structure. The functional is PBE.

a = 5.3002 Å, b = 5.3002 Å, c = 5.0567 Å
α = 90.00°, β = 90.00°, γ = 90.00°
Space group I4/mmm (No. 139)
Symmetry-distinct sites (fractional):
Cr 0.0000 0.0000 0.0000
Si 0.0000 0.5000 0.0000
Cl 0.0000 0.0000 0.5000

Calculated values
calculated volume: 17.76 Å³ per atom
energy: -5.182 eV per atom
E above lowest polymorph: 397 meV/atom

=====

Entry 3:
This record from Alexandria describes a geometry-optimized CrSi2Cl structure. The functional is PBE.

a = 2.7086 Å, b = 5.0507 Å, c = 9.4904 Å
α = 90.00°, β = 90.00°, γ = 90.00°
Space group Imm2 (No. 44)
Symmetry-distinct sites (fractional):
Cr 0.0000 0.0000 0.0000
Si 0.0000 0.0000 0.4679
Si 0.0000 0.5000 0.7152
Cl 0.0000 0.5000 0.3015

Calculated values
calculated volume: 16.23 Å³ per atom
energy: -5.196 eV per atom
E above lowest polymorph: 383 meV/atom

=====

Entry 4:
This record from Alexandria describes a geometry-optimized CrSiCl2 structure. The functional is PBE.

a = 6.0980 Å, b = 6.0980 Å, c = 9.7291 Å
α = 90.00°, β = 90.00°, γ = 90.00°
Space group I-42d (No. 122)
Symmetry-distinct sites (fractional):
Cr 0.0000 0.0000 0.0000
Si 0.0000 0.0000 0.5000
Cl 0.1665 0.2500 0.1250

Calculated values
calculated volume: 22.61 Å³ per atom
energy: -4.009 eV per atom
E above lowest polymorph: 994 meV/atom

=====

no.,raw formation energy (kJ/mol of atoms)
1,-2.5
2,38.3
3,36.9
4,65.3